Record 1
The following is a PBE calculation of a relaxed structure of Tb3Ho2Sc8, from the Alexandria database.

## Properties
- Energy of formation from the pure elements: 253 meV/atom
- Crystal system: monoclinic
- Magnetic moment: 0.0 μB/cell
- Electronic total energy: -140.81 eV per cell

Lattice parameters (Å, degrees): 13.642 8.660 6.650 90.00 109.03 90.00
Space group C2/m (No. 12)
Symmetry-distinct sites (fractional):
Tb 0.000 0.000 0.000 x2
Tb 0.000 0.183 0.500 x4
Ho 0.233 0.000 0.425 x4
Sc 0.069 0.500 0.746 x4
Sc 0.121 0.317 0.159 x8
Sc 0.195 0.000 0.897 x4

Record 2
The following is a PBE calculation of a relaxed structure of Tb5Ho8Sc, from the Alexandria database.

## Properties
- Energy of formation from the pure elements: 189 meV/atom
- Crystal system: triclinic
- Magnetic moment: 0.0 μB/cell
- Electronic total energy: -63.46 eV per cell

Lattice parameters (Å, degrees): 8.247 8.359 8.647 117.15 118.47 90.04
Space group P1 (No. 1)
Symmetry-distinct sites (fractional):
Tb 0.000 0.000 0.000 x1
Tb 0.100 0.549 0.198 x1
Tb 0.400 0.275 0.100 x1
Tb 0.623 0.302 0.884 x1
Tb 0.836 0.244 0.313 x1
Ho 0.119 0.985 0.440 x1
Ho 0.215 0.596 0.842 x1
Ho 0.320 0.345 0.478 x1
Ho 0.456 0.844 0.724 x1
Ho 0.474 0.953 0.358 x1
Ho 0.778 0.562 0.758 x1
Ho 0.833 0.705 0.476 x1
Ho 0.942 0.203 0.721 x1
Sc 0.679 0.773 0.099 x1

Record 3
The following is a PBE calculation of a relaxed structure of TbHo4Sc, from the Alexandria database.

## Properties
- Energy of formation from the pure elements: 714 meV/atom
- Crystal system: monoclinic
- Magnetic moment: 0.0 μB/cell
- Electronic total energy: -49.98 eV per cell

Lattice parameters (Å, degrees): 9.299 5.294 9.239 90.00 109.43 90.00
Space group C2/m (No. 12)
Symmetry-distinct sites (fractional):
Tb 0.000 0.000 0.000 x2
Ho 0.123 0.500 0.862 x4
Ho 0.129 0.000 0.387 x4
Sc 0.000 0.500 0.500 x2

Record 4
The following is a PBE calculation of a relaxed structure of Tb5HoSc, from the Alexandria database.

## Properties
- Energy of formation from the pure elements: 201 meV/atom
- Crystal system: monoclinic
- Magnetic moment: 0.0 μB/cell
- ΔE to the lowest computed polymorph: 0.0 meV per atom
- Electronic total energy: -130.63 eV per cell

Lattice parameters (Å, degrees): 10.419 6.566 12.904 90.00 95.15 90.00
Space group C2/c (No. 15)
Symmetry-distinct sites (fractional):
Tb 0.000 0.197 0.250 x4
Tb 0.168 0.460 0.080 x8
Tb 0.246 0.456 0.345 x8
Ho 0.000 0.271 0.750 x4
Sc 0.000 0.000 0.000 x4

Record 5
The following is a PBE calculation of a relaxed structure of Tb11Ho9Sc4, from the Alexandria database.

## Properties
- Energy of formation from the pure elements: 45 meV/atom
- Crystal system: orthorhombic
- Magnetic moment: 0.0 μB/cell
- Electronic total energy: -232.78 eV per cell

Lattice parameters (Å, degrees): 16.525 25.015 3.556 90.00 90.00 90.00
Space group Cmmm (No. 65)
Symmetry-distinct sites (fractional):
Tb 0.000 0.000 0.000 x2
Tb 0.000 0.160 0.000 x4
Tb 0.000 0.370 0.000 x4
Tb 0.202 0.500 0.000 x4
Tb 0.226 0.180 0.000 x8
Ho 0.000 0.500 0.500 x2
Ho 0.103 0.269 0.500 x8
Ho 0.145 0.072 0.500 x8
Sc 0.156 0.398 0.500 x8

Record 6
The following is a PBE calculation of a relaxed structure of TbHo7Sc4, from the Alexandria database.

## Properties
- Energy of formation from the pure elements: 250 meV/atom
- Crystal system: monoclinic
- Magnetic moment: 0.9 μB/cell
- Electronic total energy: -117.99 eV per cell

Lattice parameters (Å, degrees): 15.434 5.707 9.384 90.00 120.97 90.00
Space group C2/m (No. 12)
Symmetry-distinct sites (fractional):
Tb 0.000 0.000 0.000 x2
Ho 0.000 0.500 0.000 x2
Ho 0.088 0.000 0.446 x4
Ho 0.209 0.000 0.882 x4
Ho 0.242 0.000 0.277 x4
Sc 0.055 0.500 0.702 x4
Sc 0.168 0.500 0.349 x4

Record 7
The following is a PBE calculation of a relaxed structure of Tb3Ho2Sc3, from the Alexandria database.

## Properties
- Energy of formation from the pure elements: 281 meV/atom
- Crystal system: trigonal
- Magnetic moment: 0.2 μB/cell
- Electronic total energy: -119.39 eV per cell

Lattice parameters (Å, degrees): 6.0908 6.0908 22.7688 90.00 90.00 120.00
Space group R-3m (No. 166, hexagonal axes)
Symmetry-distinct sites (fractional):
Tb 0.0000 0.0000 0.0000 x3
Tb 0.0000 0.0000 0.4269 x6
Ho 0.0000 0.0000 0.2906 x6
Sc 0.0000 0.5000 0.5000 x9

Record 8
The following is a PBE calculation of a relaxed structure of TbHo7Sc3, from the Alexandria database.

## Properties
- Energy of formation from the pure elements: 271 meV/atom
- Crystal system: orthorhombic
- Magnetic moment: 0.7 μB/cell
- Electronic total energy: -105.37 eV per cell

Lattice parameters (Å, degrees): 5.668 10.589 11.048 90.00 90.00 90.00
Space group Immm (No. 71)
Symmetry-distinct sites (fractional):
Tb 0.000 0.000 0.000 x2
Ho 0.000 0.192 0.296 x8
Ho 0.000 0.304 0.000 x4
Ho 0.000 0.500 0.500 x2
Sc 0.000 0.000 0.500 x2
Sc 0.000 0.500 0.212 x4

Record 9
The following is a PBE calculation of a relaxed structure of Tb2HoSc2, from the Alexandria database.

## Properties
- Energy of formation from the pure elements: 188 meV/atom
- Crystal system: orthorhombic
- Magnetic moment: 0.0 μB/cell
- ΔE to the lowest computed polymorph: 41.8 meV per atom
- Electronic total energy: -102.25 eV per cell

Lattice parameters (Å, degrees): 5.611 11.283 9.412 90.00 90.00 90.00
Space group Imma (No. 74)
Symmetry-distinct sites (fractional):
Tb 0.000 0.076 0.161 x8
Ho 0.000 0.250 0.855 x4
Sc 0.000 0.114 0.553 x8

Record 10
The following is a PBE calculation of a relaxed structure of TbHoSc, from the Alexandria database.

## Properties
- Energy of formation from the pure elements: 26 meV/atom
- Crystal system: monoclinic
- Magnetic moment: 0.0 μB/cell
- ΔE to the lowest computed polymorph: 0.0 meV per atom
- Electronic total energy: -30.92 eV per cell

Lattice parameters (Å, degrees): 6.081 5.477 6.093 90.00 119.93 90.00
Space group P2_1/m (No. 11)
Symmetry-distinct sites (fractional):
Tb 0.007 0.250 0.333 x2
Ho 0.334 0.250 0.007 x2
Sc 0.339 0.750 0.338 x2

Record 11
The following is a PBE calculation of a relaxed structure of TbHo2Sc4, from the Alexandria database.

## Properties
- Energy of formation from the pure elements: 172 meV/atom
- Crystal system: orthorhombic
- Magnetic moment: 0.0 μB/cell
- Electronic total energy: -75.82 eV per cell

Lattice parameters (Å, degrees): 3.599 20.972 5.234 90.00 90.00 90.00
Space group Cmmm (No. 65)
Symmetry-distinct sites (fractional):
Tb 0.000 0.000 0.000 x2
Ho 0.000 0.426 0.500 x4
Sc 0.000 0.197 0.500 x4
Sc 0.000 0.319 0.000 x4

Record 12
The following is a PBE calculation of a relaxed structure of Tb5HoSc, from the Alexandria database.

## Properties
- Energy of formation from the pure elements: 922 meV/atom
- Crystal system: orthorhombic
- Magnetic moment: 0.0 μB/cell
- ΔE to the lowest computed polymorph: 721.4 meV per atom
- Electronic total energy: -55.21 eV per cell

Lattice parameters (Å, degrees): 7.741 11.482 6.093 90.00 90.00 90.00
Space group Imm2 (No. 44)
Symmetry-distinct sites (fractional):
Tb 0.000 0.000 0.000 x2
Tb 0.000 0.246 0.453 x4
Tb 0.185 0.500 0.204 x4
Ho 0.000 0.500 0.715 x2
Sc 0.000 0.000 0.462 x2

Record 13
The following is a PBE calculation of a relaxed structure of TbHo4Sc4, from the Alexandria database.

## Properties
- Energy of formation from the pure elements: 52 meV/atom
- Crystal system: tetragonal
- Magnetic moment: 0.0 μB/cell
- Electronic total energy: -95.60 eV per cell

Lattice parameters (Å, degrees): 10.242 10.242 4.812 90.00 90.00 90.00
Space group I4/mmm (No. 139)
Symmetry-distinct sites (fractional):
Tb 0.000 0.000 0.000 x2
Ho 0.000 0.329 0.000 x8
Sc 0.167 0.167 0.500 x8

Record 14
The following is a PBE calculation of a relaxed structure of Tb5HoSc2, from the Alexandria database.

## Properties
- Energy of formation from the pure elements: 113 meV/atom
- Crystal system: tetragonal
- Magnetic moment: 0.2 μB/cell
- ΔE to the lowest computed polymorph: 82.7 meV per atom
- Electronic total energy: -157.94 eV per cell

Lattice parameters (Å, degrees): 8.833 8.833 12.385 90.00 90.00 90.00
Space group I4/mcm (No. 140)
Symmetry-distinct sites (fractional):
Tb 0.000 0.000 0.000 x4
Tb 0.151 0.349 0.159 x16
Ho 0.000 0.000 0.250 x4
Sc 0.144 0.356 0.500 x8

Record 15
The following is a PBE calculation of a relaxed structure of Tb14HoSc, from the Alexandria database.

## Properties
- Energy of formation from the pure elements: 21 meV/atom
- Crystal system: tetragonal
- Magnetic moment: 0.0 μB/cell
- Electronic total energy: -75.39 eV per cell

Lattice parameters (Å, degrees): 7.089 7.089 9.993 90.00 90.00 90.00
Space group P4/mmm (No. 123)
Symmetry-distinct sites (fractional):
Tb 0.000 0.000 0.000 x1
Tb 0.000 0.500 0.000 x2
Tb 0.000 0.500 0.500 x2
Tb 0.248 0.248 0.253 x8
Tb 0.500 0.500 0.000 x1
Ho 0.500 0.500 0.500 x1
Sc 0.000 0.000 0.500 x1

Record 16
The following is a PBE calculation of a relaxed structure of Tb2Ho3Sc, from the Alexandria database.

## Properties
- Energy of formation from the pure elements: 144 meV/atom
- Crystal system: monoclinic
- Magnetic moment: 0.0 μB/cell
- ΔE to the lowest computed polymorph: 108.9 meV per atom
- Electronic total energy: -113.84 eV per cell

Lattice parameters (Å, degrees): 17.421 3.427 13.938 90.00 117.35 90.00
Space group C2/m (No. 12)
Symmetry-distinct sites (fractional):
Tb 0.155 0.000 0.470 x4
Tb 0.180 0.500 0.879 x4
Ho 0.037 0.500 0.217 x4
Ho 0.099 0.000 0.026 x4
Ho 0.241 0.000 0.293 x4
Sc 0.063 0.000 0.641 x4

Record 17
The following is a PBE calculation of a relaxed structure of Tb8Ho4Sc, from the Alexandria database.

## Properties
- Energy of formation from the pure elements: 501 meV/atom
- Crystal system: trigonal
- Magnetic moment: 0.0 μB/cell
- Electronic total energy: -165.52 eV per cell

Lattice parameters (Å, degrees): 10.8855 10.8855 13.2735 90.00 90.00 120.00
Space group R-3m (No. 166, hexagonal axes)
Symmetry-distinct sites (fractional):
Tb 0.0000 0.0000 0.2435 x6
Tb 0.0079 0.5040 0.7473 x18
Ho 0.0000 0.0000 0.0000 x3
Ho 0.0000 0.5000 0.0000 x9
Sc 0.0000 0.0000 0.5000 x3

Record 18
The following is a PBE calculation of a relaxed structure of TbHo6Sc8, from the Alexandria database.

## Properties
- Energy of formation from the pure elements: 144 meV/atom
- Crystal system: trigonal
- Magnetic moment: 0.0 μB/cell
- Electronic total energy: -241.79 eV per cell

Lattice parameters (Å, degrees): 8.5590 8.5590 19.7787 90.00 90.00 120.00
Space group R-3 (No. 148, hexagonal axes)
Symmetry-distinct sites (fractional):
Tb 0.0000 0.0000 0.0000 x3
Ho 0.0647 0.8153 0.7104 x18
Sc 0.0000 0.0000 0.4255 x6
Sc 0.0799 0.5246 0.8092 x18

Record 19
The following is a PBE calculation of a relaxed structure of Tb4Ho6Sc, from the Alexandria database.

## Properties
- Energy of formation from the pure elements: 137 meV/atom
- Crystal system: orthorhombic
- Magnetic moment: 0.0 μB/cell
- ΔE to the lowest computed polymorph: 0.0 meV per atom
- Electronic total energy: -203.24 eV per cell

Lattice parameters (Å, degrees): 5.611 9.531 25.452 90.00 90.00 90.00
Space group Cmcm (No. 63)
Symmetry-distinct sites (fractional):
Tb 0.000 0.024 0.122 x8
Tb 0.000 0.341 0.044 x8
Ho 0.000 0.000 0.000 x4
Ho 0.000 0.017 0.250 x4
Ho 0.000 0.314 0.608 x8
Ho 0.000 0.352 0.183 x8
Sc 0.000 0.318 0.750 x4

Record 20
The following is a PBE calculation of a relaxed structure of Tb4HoSc3, from the Alexandria database.

## Properties
- Energy of formation from the pure elements: 32 meV/atom
- Crystal system: orthorhombic
- Magnetic moment: 0.0 μB/cell
- Electronic total energy: -83.67 eV per cell

Lattice parameters (Å, degrees): 10.928 7.038 6.077 90.00 90.00 90.00
Space group Pmn2_1 (No. 31)
Symmetry-distinct sites (fractional):
Tb 0.000 0.132 0.000 x2
Tb 0.000 0.867 0.510 x2
Tb 0.245 0.132 0.346 x4
Ho 0.000 0.618 0.014 x2
Sc 0.000 0.382 0.513 x2
Sc 0.249 0.618 0.342 x4